Material: ScTlGeS4
Method: DFT, GGA-PBE
State: optimized geometry

Uncorrected formation energy: -886 meV/atom
Total energy: -72.05 eV/cell

The structure in CIF format:
```
data_ScTlGeS4
_chemical_formula_sum 'Sc2 Tl2 Ge2 S8'
_cell_length_a 6.303
_cell_length_b 6.669
_cell_length_c 8.710
_cell_angle_alpha 90.00
_cell_angle_beta 107.67
_cell_angle_gamma 90.00
_space_group_name_H-M_alt 'P 1 21/m 1'
_space_group_IT_number 11
_space_group_name_Hall '-P 2yb'
loop_
_atom_site_label
_atom_site_fract_x
_atom_site_fract_y
_atom_site_fract_z
Sc1 0.214 0.250 0.048
Tl1 0.255 0.250 0.563
Ge1 0.239 0.750 0.839
S1 0.005 0.504 0.195
S2 0.451 0.750 0.679
S3 0.474 0.750 0.085
```